Record 1
Computed, not measured: K2BaCaBr6 after structural relaxation at the PBE level of DFT.

DFT total energy ... -3.57 eV/atom
Density of states at the Fermi level ... 0.000 states/eV per atom

Lattice parameters (Å, degrees): 7.9657 8.4264 11.4117 90.00 90.73 90.00
Positions (direct):
1 K 0.9708 0.0774 0.7511
2 K 0.4708 0.4226 0.2511
3 K 0.5292 0.5774 0.7489
4 K 0.0292 0.9226 0.2489
5 Ba 0.5000 0.0000 0.0000
6 Ba 0.0000 0.5000 0.5000
7 Br 0.1782 0.2102 0.0734
8 Br 0.7071 0.3139 0.9328
9 Br 0.2929 0.6861 0.0672
10 Br 0.8218 0.7898 0.9266
11 Br 0.2071 0.1861 0.4328
12 Br 0.8650 0.5550 0.2344
13 Br 0.7929 0.8139 0.5672
14 Br 0.3218 0.7102 0.4266
15 Br 0.3650 0.9450 0.7344
16 Br 0.6782 0.2898 0.5734
17 Br 0.1350 0.4450 0.7656
18 Br 0.6350 0.0550 0.2656
19 Ca 0.5000 0.0000 0.5000
20 Ca 0.0000 0.5000 0.0000



Record 2
Computed, not measured: BaAs2OsSe after structural relaxation at the PBE level of DFT.

DFT total energy ... -5.48 eV/atom
Density of states at the Fermi level ... 0.636 states/eV per atom
Distance to the lowest polymorph of the same formula ... 0 meV per atom

Lattice parameters (Å, degrees): 4.7473 4.7473 5.7980 90.00 90.00 90.00
Positions (direct):
1 As 0.5000 0.0000 0.0000
2 As 0.0000 0.5000 0.0000
3 Ba 0.5000 0.5000 0.5000
4 Os 0.0000 0.0000 0.0000
5 Se 0.0000 0.0000 0.5000



Record 3
Computed, not measured: YTmLuPu after structural relaxation at the PBE level of DFT.

ΔH_f (0 K) ... 0.17 eV/atom
DFT total energy ... -7.27 eV/atom
Density of states at the Fermi level ... 2.298 states/eV per atom

Lattice parameters (Å, degrees): 5.5315 5.5315 5.5315 60.00 60.00 60.00
Positions (direct):
1 Lu 0.5000 0.5000 0.5000
2 Pu 0.7500 0.7500 0.7500
3 Tm 0.0000 0.0000 0.0000
4 Y 0.2500 0.2500 0.2500



Record 4
Computed, not measured: BaCeGd2 after structural relaxation at the PBE level of DFT.

ΔH_f (0 K) ... 0.75 eV/atom
DFT total energy ... -8.25 eV/atom
Density of states at the Fermi level ... 2.226 states/eV per atom
Distance to the lowest polymorph of the same formula ... 591 meV per atom

Lattice parameters (Å, degrees): 4.1863 4.1863 10.7675 78.79 78.79 60.00
Positions (direct):
1 Ba 0.0000 0.0000 0.0000
2 Gd 0.1170 0.1170 0.6491
3 Gd 0.8830 0.8830 0.3509
4 Ce 0.5000 0.5000 0.5000



Record 5
Computed, not measured: Sr2AcAs after structural relaxation at the PBE level of DFT.

ΔH_f (0 K) ... -0.46 eV/atom
DFT total energy ... -3.49 eV/atom
Density of states at the Fermi level ... 1.328 states/eV per atom
Distance to the lowest polymorph of the same formula ... 0 meV per atom

Lattice parameters (Å, degrees): 3.9344 3.9344 10.0114 90.00 90.00 90.00
Positions (direct):
1 Sr 0.0000 0.0000 0.1657
2 Sr 0.0000 0.0000 0.8343
3 As 0.5000 0.5000 0.0000
4 Ac 0.5000 0.5000 0.5000



Record 6
Computed, not measured: AcHg3Pb3 after structural relaxation at the PBE level of DFT.

ΔH_f (0 K) ... 0.25 eV/atom
DFT total energy ... -2.05 eV/atom
Density of states at the Fermi level ... 0.563 states/eV per atom
Distance to the lowest polymorph of the same formula ... 408 meV per atom

Lattice parameters (Å, degrees): 8.1125 8.1125 8.1125 90.00 90.00 90.00
Positions (direct):
1 Ac 0.5000 0.5000 0.5000
2 Ac 0.0000 0.0000 0.0000
3 Pb 0.7500 0.5000 0.0000
4 Pb 0.5000 0.0000 0.2500
5 Pb 0.2500 0.5000 0.0000
6 Pb 0.0000 0.7500 0.5000
7 Pb 0.5000 0.0000 0.7500
8 Pb 0.0000 0.2500 0.5000
9 Hg 0.0000 0.5000 0.7500
10 Hg 0.5000 0.2500 0.0000
11 Hg 0.7500 0.0000 0.5000
12 Hg 0.2500 0.0000 0.5000
13 Hg 0.0000 0.5000 0.2500
14 Hg 0.5000 0.7500 0.0000



Number 1: size of the total moment 0.000 μB per atom. Number 2: size of the total moment 0.000 μB per atom. Number 3: size of the total moment 1.578 μB per atom. Number 4: size of the total moment 3.436 μB per atom. Number 5: size of the total moment 0.000 μB per atom. Number 6: size of the total moment 0.000 μB per atom.